Entry from Alexandria: a geometry-optimized Li2PuSn structure (PBE-GGA).

Output
The calculation puts the formation energy at -0.9 eV/f.u.

Cell lengths 4.855, 4.855, 4.855 Å; angles 60.00, 60.00, 60.00 degrees
Fractional positions:
1 Li 0.250 0.250 0.250
2 Li 0.750 0.750 0.750
3 Sn 0.500 0.500 0.500
4 Pu 0.000 0.000 0.000

---

Entry from Alexandria: a geometry-optimized KRhPb2 structure (PBE-GGA).

Output
The calculation puts the formation energy at 0.5 eV/f.u.

Cell lengths 5.144, 3.579, 7.113 Å; angles 75.67, 90.00, 90.00 degrees
Fractional positions:
1 K 0.500 0.693 0.740
2 Pb 0.000 0.021 0.082
3 Pb 0.500 0.415 0.288
4 Rh 0.000 0.371 0.390